A relaxed structure of MnNbAg. Source: the Alexandria database, functional GGA-PBE.

abc: 4.4639 4.4639 18.3131
angles: 90.00 90.00 120.00
Space group R-3m (No. 166, hexagonal axes)
Symmetry-distinct sites (fractional):
Mn (0.0000, 0.0000, 0.2051) (multiplicity 6)
Nb (0.0000, 0.0000, 0.0836) (multiplicity 6)
Ag (0.0000, 0.0000, 0.3616) (multiplicity 6)

Calculated values
Raw total energy, eV/atom: -6.70

---

A relaxed structure of FeCo2PtRh. Source: the Alexandria database, functional GGA-PBE.

abc: 4.520 4.520 4.871
angles: 90.00 90.00 90.00
Space group P4/mmm (No. 123)
Symmetry-distinct sites (fractional):
Fe (0.000, 0.000, 0.000) (multiplicity 1)
Co (0.000, 0.500, 0.500) (multiplicity 2)
Pt (0.500, 0.500, 0.500) (multiplicity 1)
Rh (0.500, 0.500, 0.000) (multiplicity 1)

Calculated values
Raw total energy, eV/atom: -5.68

---

A relaxed structure of La2TiCo2. Source: the Alexandria database, functional GGA-PBE.

abc: 6.715 6.715 4.598
angles: 90.00 90.00 90.00
Space group P4/mbm (No. 127)
Symmetry-distinct sites (fractional):
La (0.176, 0.324, 0.000) (multiplicity 4)
Ti (0.000, 0.000, 0.500) (multiplicity 2)
Co (0.131, 0.631, 0.500) (multiplicity 4)

Calculated values
Raw total energy, eV/atom: -6.35

---

A relaxed structure of ZnClF. Source: the Alexandria database, functional GGA-PBE.

abc: 3.599 3.641 9.461
angles: 80.02 89.90 60.40
Space group P-1 (No. 2)
Symmetry-distinct sites (fractional):
Zn (0.124, 0.253, 0.341) (multiplicity 2)
Cl (0.416, 0.670, 0.198) (multiplicity 2)
F (0.187, 0.125, 0.574) (multiplicity 2)

Calculated values
Energy above the most stable polymorph in this dataset, meV/atom: 60.9

---

A relaxed structure of LaAlPt2. Source: the Alexandria database, functional GGA-PBE.

abc: 4.165 4.165 9.234
angles: 90.00 90.00 90.00
Space group I-4m2 (No. 119)
Symmetry-distinct sites (fractional):
La (0.000, 0.000, 0.000) (multiplicity 2)
Al (0.000, 0.500, 0.250) (multiplicity 2)
Pt (0.000, 0.000, 0.500) (multiplicity 2)
Pt (0.000, 0.500, 0.750) (multiplicity 2)

Calculated values
Raw total energy, eV/atom: -5.89

---

A relaxed structure of Tb7Pm3Mg2. Source: the Alexandria database, functional GGA-PBE.

abc: 5.820 3.549 18.615
angles: 90.00 93.70 90.00
Space group P2/m (No. 10)
Symmetry-distinct sites (fractional):
Tb (0.000, 0.000, 0.000) (multiplicity 1)
Tb (0.192, 0.500, 0.168) (multiplicity 2)
Tb (0.258, 0.500, 0.536) (multiplicity 2)
Tb (0.311, 0.000, 0.851) (multiplicity 2)
Pm (0.226, 0.000, 0.366) (multiplicity 2)
Pm (0.500, 0.500, 0.000) (multiplicity 1)
Mg (0.288, 0.500, 0.706) (multiplicity 2)

Calculated values
Raw total energy, eV/atom: -4.07

---

A relaxed structure of MgCoI. Source: the Alexandria database, functional GGA-PBE.

abc: 6.140 6.140 6.140
angles: 90.00 90.00 90.00
Space group F-43m (No. 216)
Symmetry-distinct sites (fractional):
Mg (0.000, 0.000, 0.000) (multiplicity 4)
Co (0.250, 0.250, 0.250) (multiplicity 4)
I (0.000, 0.000, 0.500) (multiplicity 4)

Calculated values
Energy above the most stable polymorph in this dataset, meV/atom: 565.0

---

A relaxed structure of PrU2TcC4. Source: the Alexandria database, functional GGA-PBE.

abc: 3.620 11.732 11.634
angles: 90.00 90.00 90.00
Space group Cmcm (No. 63)
Symmetry-distinct sites (fractional):
Pr (0.000, 0.113, 0.250) (multiplicity 4)
U (0.000, 0.372, 0.046) (multiplicity 8)
Tc (0.000, 0.149, 0.750) (multiplicity 4)
C (0.000, 0.000, 0.000) (multiplicity 4)
C (0.000, 0.255, 0.615) (multiplicity 8)
C (0.000, 0.436, 0.250) (multiplicity 4)

Calculated values
Raw total energy, eV/atom: -9.36

---

A relaxed structure of PmCoCu. Source: the Alexandria database, functional GGA-PBE.

abc: 4.1325 4.1325 3.8250
angles: 90.00 90.00 120.00
Space group P-6m2 (No. 187)
Symmetry-distinct sites (fractional):
Pm (0.0000, 0.0000, 0.0000) (multiplicity 1)
Co (0.6667, 0.3333, 0.5000) (multiplicity 1)
Cu (0.3333, 0.6667, 0.5000) (multiplicity 1)

Calculated values
Energy above the most stable polymorph in this dataset, meV/atom: 79.5

---

A relaxed structure of CaZn2Cr. Source: the Alexandria database, functional GGA-PBE.

abc: 3.304 4.232 6.031
angles: 90.00 105.80 90.00
Space group Pm (No. 6)
Symmetry-distinct sites (fractional):
Ca (0.000, 0.000, 0.000) (multiplicity 1)
Zn (0.256, 0.000, 0.508) (multiplicity 1)
Zn (0.377, 0.500, 0.752) (multiplicity 1)
Cr (0.684, 0.500, 0.366) (multiplicity 1)

Calculated values
Raw total energy, eV/atom: -3.36

---

A relaxed structure of SrIn2Au7. Source: the Alexandria database, functional GGA-PBE.

abc: 6.762 17.135 4.165
angles: 90.00 90.00 90.00
Space group Cmmm (No. 65)
Symmetry-distinct sites (fractional):
Sr (0.000, 0.000, 0.000) (multiplicity 2)
In (0.000, 0.261, 0.500) (multiplicity 4)
Au (0.000, 0.380, 0.000) (multiplicity 4)
Au (0.000, 0.500, 0.500) (multiplicity 2)
Au (0.205, 0.119, 0.500) (multiplicity 8)

Calculated values
Raw total energy, eV/atom: -3.26

---

A relaxed structure of YSb2H2. Source: the Alexandria database, functional GGA-PBE.

abc: 6.849 6.849 3.929
angles: 90.00 90.00 90.00
Space group P4/mbm (No. 127)
Symmetry-distinct sites (fractional):
Y (0.000, 0.000, 0.000) (multiplicity 2)
Sb (0.150, 0.350, 0.500) (multiplicity 4)
H (0.250, 0.250, 0.000) (multiplicity 4)

Calculated values
Energy above the most stable polymorph in this dataset, meV/atom: 0.0

---

| no. | calculated density (g/cm³) |
| --- | --- |
| 1 | 8.1 |
| 2 | 7.9 |
| 3 | 7.1 |
| 4 | 3.8 |
| 5 | 11.5 |
| 6 | 6.9 |
| 7 | 6.0 |
| 8 | 10.3 |
| 9 | 7.9 |
| 10 | 4.6 |
| 11 | 11.7 |
| 12 | 6.0 |